Record 1
12
Lattice="4.600 0.000 0.000 -0.101 4.621 0.000 -0.290 -0.125 7.290" Properties=species:S:1:pos:R:3 comment="SrFe2IrO8 | Alexandria via LeMat-Bulk | PBE with a Hubbard U | optimized geometry" spacegroup="P-1, No. 2" final_energy_ev_per_atom=-6.33 pbc="T T T"
Sr 0.000 0.000 0.000
Fe 2.065 2.322 2.225
Fe 2.145 2.174 5.065
Ir -0.145 -0.062 3.645
O 0.852 0.799 2.220
O 0.772 0.814 5.141
O 1.071 3.143 3.682
O 1.591 2.507 0.292
O 2.619 1.989 6.998
O 3.139 1.353 3.608
O 3.437 3.683 2.149
O 3.357 3.697 5.070

Record 2
5
Lattice="4.112 0.000 0.000 0.000 4.112 0.000 0.000 0.000 6.637" Properties=species:S:1:pos:R:3 comment="CrSe2BrO | Alexandria via LeMat-Bulk | PBE with a Hubbard U | optimized geometry" spacegroup="P4/mmm, No. 123" final_energy_ev_per_atom=-4.05 pbc="T T T"
Cr 0.000 0.000 0.000
Se 0.000 2.056 3.318
Se 2.056 0.000 3.318
Br 2.056 2.056 0.000
O 2.056 2.056 3.318